Record 1
First-principles (PBE-GGA) data for a geometry-optimized YBrNF2 structure, as listed in the Alexandria database.

Structure (POSCAR):
```
YBrNF2
1.0
-2.923 -1.959 -2.680
-2.038 -1.761 3.509
-2.542 3.447 0.253
N Br F Y
1 1 2 1
Cartesian
-1.271 1.723 0.127
0.000 0.000 0.000
-1.019 -0.880 1.754
-1.461 -0.979 -1.340
-3.751 -0.137 0.541
```

- energy relative to the elements, uncorrected (eV per atom) = -0.231
- density of states at the Fermi level (states/eV/cell) = 2.04
- offset from the most stable computed form (eV per atom) = 1.355

---

Record 2
First-principles (PBE-GGA) data for a geometry-optimized CuSb2Te structure, as listed in the Alexandria database.

Structure (POSCAR):
```
CuSb2Te
1.0
-3.515 -2.079 -4.497
5.781 -0.861 -0.492
0.140 -3.298 0.466
Sb Cu Te
2 1 1
Cartesian
0.000 0.000 0.000
-1.687 -2.689 -2.016
1.133 -1.470 -2.494
2.961 -2.080 -0.013
```

- energy relative to the elements, uncorrected (eV per atom) = 0.419
- density of states at the Fermi level (states/eV/cell) = 2.52

---

Record 3
First-principles (PBE-GGA) data for a geometry-optimized InCuIr2 structure, as listed in the Alexandria database.

Structure (POSCAR):
```
InCuIr2
1.0
-0.653 0.102 2.819
-2.077 -4.222 -0.328
3.956 -2.023 0.990
Cu Ir In
1 2 1
Cartesian
1.651 -0.960 1.904
0.000 0.000 0.000
-1.365 -2.060 1.245
0.940 -3.122 0.331
```

- energy relative to the elements (eV per formula unit) = 0.7
- density of states at the Fermi level (states/eV/cell) = 3.55

---

Record 4
First-principles (PBE-GGA) data for a geometry-optimized La3SbTe6 structure, as listed in the Alexandria database.

Structure (POSCAR):
```
La3SbTe6
1.0
-3.573 5.890 -3.662
-8.787 -3.408 3.092
2.686 6.163 7.293
Sb Te La
2 12 6
Cartesian
0.669 4.507 6.548
-8.578 1.228 1.985
-7.258 2.725 -0.103
-2.276 7.668 3.979
-9.306 3.650 3.382
-3.087 1.659 2.682
-6.090 6.167 4.552
-6.585 -0.362 3.578
-5.092 2.564 6.094
-2.030 5.284 7.223
1.745 7.531 6.378
-4.085 5.261 1.139
-11.367 1.028 0.400
0.017 4.359 3.737
-7.284 5.624 1.579
-7.864 4.179 6.302
-7.388 9.012 5.300
-3.979 2.425 -0.311
-3.503 7.257 -1.313
-3.296 4.516 4.216
```

- energy relative to the elements, uncorrected (eV per atom) = -1.177

---

Record 5
First-principles (PBE-GGA) data for a geometry-optimized Mo3H4 structure, as listed in the Alexandria database.

Structure (POSCAR):
```
Mo3H4
1.0
-3.606 -1.739 0.353
1.223 -3.016 -2.358
1.285 -2.008 3.236
Mo H
3 4
Cartesian
0.642 -1.004 1.618
0.612 -1.508 -1.179
-1.803 -0.869 0.177
0.000 0.000 0.000
1.254 -2.512 0.439
-1.191 -2.377 -1.002
-1.161 -1.873 1.794
```

- density of states at the Fermi level (states/eV/cell) = 6.32

---

Record 6
First-principles (PBE-GGA) data for a geometry-optimized Y2PbS2 structure, as listed in the Alexandria database.

Structure (POSCAR):
```
Y2PbS2
1.0
4.646 0.000 0.000
0.000 4.646 0.000
2.323 2.323 6.559
Pb S Y
1 2 2
Cartesian
0.000 0.000 0.000
4.646 2.323 3.280
2.323 4.646 3.280
2.323 2.323 1.940
4.646 4.646 4.620
```

- energy relative to the elements, uncorrected (eV per atom) = -1.185
- density of states at the Fermi level (states/eV/cell) = 2.23

---

Record 7
First-principles (PBE-GGA) data for a geometry-optimized MnV3Te6 structure, as listed in the Alexandria database.

Structure (POSCAR):
```
MnV3Te6
1.0
3.847 0.000 0.000
0.000 12.047 0.591
0.000 -3.496 10.246
Te Mn V
12 2 6
Cartesian
0.962 -2.060 8.967
0.962 1.267 8.015
0.962 8.611 5.510
2.885 7.283 2.823
0.962 4.427 9.977
0.962 1.542 2.627
2.885 -0.061 5.328
2.885 10.610 1.870
2.885 4.124 0.861
2.885 7.009 8.211
0.962 4.850 4.136
2.885 3.700 6.702
0.962 -1.027 3.468
2.885 9.578 7.370
0.962 7.281 10.143
0.962 2.196 5.378
2.885 1.269 0.695
0.962 5.897 1.469
2.885 2.654 9.369
2.885 6.355 5.460
```

- energy relative to the elements, uncorrected (eV per atom) = -0.178
- density of states at the Fermi level (states/eV/cell) = 13.73

---

Record 8
First-principles (PBE-GGA) data for a geometry-optimized KTl2SI structure, as listed in the Alexandria database.

Structure (POSCAR):
```
KTl2SI
1.0
7.730 0.000 0.000
0.000 7.730 0.000
-3.865 -3.865 6.556
I S K Tl
2 2 2 4
Cartesian
3.865 0.000 3.277
0.000 3.865 3.277
3.865 3.865 0.003
0.000 0.000 0.003
0.000 0.000 3.280
3.865 3.865 3.280
-2.725 -1.140 6.556
2.725 1.140 6.556
1.140 -2.725 6.556
-1.140 2.725 6.556
```

- energy relative to the elements, uncorrected (eV per atom) = -0.682
- density of states at the Fermi level (states/eV/cell) = 0.72
- offset from the most stable computed form (eV per atom) = 0.000

---

Record-wise total energy values, in eV per cell: -21.4, -13.8, -23.9, -99.1, -43.7, -30.8, -114.3, -29.8